Record 1
Material: PaAg3Cl8
Method: DFT, PBE
State: optimized geometry

Calculated values
ΔE_f (raw) = -1.129 eV per atom
spin magnetization = 0.0000 μB/atom
V = 374.1 Å³/f.u.

Cell: 6.3380 6.3380 9.3135 Å, 90.00 90.00 90.60°
With the nearest neighbours (Å) after each atom.
Atoms (fractional coordinates):
Cl  0.3004  0.2898  0.6988  1 Pa 2.60, 1 Ag 2.69
Ag  0.5000  0.0000  0.8579  4 Cl 2.60-2.69
Cl  0.7680  0.2320  0.0000  3 Ag 2.41-2.60
Cl  0.7102  0.6996  0.3012  1 Pa 2.60, 1 Ag 2.69
Ag  0.0000  0.5000  0.1421  4 Cl 2.60-2.69
Cl  0.6996  0.7102  0.6988  1 Pa 2.60, 1 Ag 2.69
Cl  0.2218  0.7782  0.5000  1 Pa 2.51
Ag  0.5000  0.5000  0.0000  2 Cl 2.41
Cl  0.2320  0.7680  0.0000  3 Ag 2.41-2.60
Pa  0.5000  0.5000  0.5000  6 Cl 2.51-2.60
Cl  0.7782  0.2218  0.5000  1 Pa 2.51
Cl  0.2898  0.3004  0.3012  1 Pa 2.60, 1 Ag 2.69

Record 2
Material: Na2TbI5
Method: DFT, PBE
State: optimized geometry

Calculated values
ΔE_f (raw) = -1.268 eV per atom
spin magnetization = 0.0000 μB/atom
V = 298.1 Å³/f.u.

Cell: 9.0651 9.4354 13.9387 Å, 90.00 90.00 90.00°
With the nearest neighbours (Å) after each atom.
Atoms (fractional coordinates):
Na  0.5244  0.5137  0.1768  7 I 3.28-3.61
I  0.3680  0.7500  0.3168  1 Tb 3.13, 2 Na 3.28
I  0.8140  0.7500  0.2028  1 Tb 3.08
I  0.6623  0.0476  0.4165  2 Tb 3.08-3.21
I  0.1320  0.7500  0.8168  1 Tb 3.13, 2 Na 3.28
I  0.1623  0.5476  0.0835  2 Tb 3.08-3.21
I  0.6860  0.7500  0.7028  1 Tb 3.08
Tb  0.0845  0.2500  0.0084  7 I 3.08-3.24
I  0.1860  0.2500  0.7972  1 Tb 3.08
I  0.3377  0.9524  0.5835  2 Tb 3.08-3.21
Tb  0.5845  0.7500  0.4916  7 I 3.08-3.24
I  0.1623  0.9524  0.0835  2 Tb 3.08-3.21
Na  0.4756  0.4863  0.8232  7 I 3.28-3.61
Na  0.9756  0.5137  0.6768  7 I 3.28-3.61
Na  0.5244  0.9863  0.1768  7 I 3.28-3.61
Na  0.4756  0.0137  0.8232  7 I 3.28-3.61
Na  0.0244  0.0137  0.3232  7 I 3.28-3.61
Na  0.9756  0.9863  0.6768  7 I 3.28-3.61
Tb  0.9155  0.7500  0.9916  7 I 3.08-3.24
I  0.9412  0.7500  0.4809  1 Tb 3.24, 4 Na 3.40-3.54
I  0.3140  0.2500  0.2972  1 Tb 3.08
I  0.5588  0.7500  0.9809  1 Tb 3.24, 4 Na 3.40-3.54
I  0.8377  0.0476  0.9165  2 Tb 3.08-3.21
Na  0.0244  0.4863  0.3232  7 I 3.28-3.61
I  0.0588  0.2500  0.5191  1 Tb 3.24, 4 Na 3.40-3.54
I  0.6320  0.2500  0.6832  1 Tb 3.13, 2 Na 3.28
I  0.8377  0.4524  0.9165  2 Tb 3.08-3.21
I  0.8680  0.2500  0.1832  1 Tb 3.13, 2 Na 3.28
I  0.3377  0.5476  0.5835  2 Tb 3.08-3.21
Tb  0.4155  0.2500  0.5084  7 I 3.08-3.24
I  0.6623  0.4524  0.4165  2 Tb 3.08-3.21
I  0.4412  0.2500  0.0191  1 Tb 3.24, 4 Na 3.40-3.54

Record 3
Material: Cs2BeS
Method: DFT, PBE
State: optimized geometry

Calculated values
ΔE_f (raw) = 0.110 eV per atom
spin magnetization = 0.0000 μB/atom
V = 148.0 Å³/f.u.

Cell: 5.9373 5.9373 5.9373 Å, 60.00 60.00 60.00°
With the nearest neighbours (Å) after each atom.
Atoms (fractional coordinates):
S  0.5000  0.5000  0.5000  8 Cs 3.64
Cs  0.2500  0.2500  0.2500  4 S 3.64, 4 Be 3.64
Cs  0.7500  0.7500  0.7500  4 S 3.64, 4 Be 3.64
Be  0.0000  0.0000  0.0000  8 Cs 3.64

Record 4
Material: ErNiSnIr
Method: DFT, PBE
State: optimized geometry

Calculated values
E_form = -0.527 eV per atom
spin magnetization = 0.0000 μB/atom
V = 71.0 Å³/f.u.

Cell: 4.6476 4.6476 4.6476 Å, 60.00 60.00 60.00°
With the nearest neighbours (Å) after each atom.
Atoms (fractional coordinates):
Ni  0.5000  0.5000  0.5000  4 Sn 2.85, 4 Er 2.85
Er  0.7500  0.7500  0.7500  4 Ir 2.85, 4 Ni 2.85
Sn  0.2500  0.2500  0.2500  4 Ni 2.85, 4 Ir 2.85
Ir  0.0000  0.0000  0.0000  4 Sn 2.85, 4 Er 2.85

Record 5
Material: Li2BeSb
Method: DFT, PBE
State: optimized geometry

Calculated values
ΔE_f (raw) = 0.058 eV per atom
spin magnetization = 0.0000 μB/atom
V = 66.2 Å³/f.u.

Cell: 3.2536 3.2536 6.2507 Å, 90.00 90.00 90.00°
With the nearest neighbours (Å) after each atom.
Atoms (fractional coordinates):
Li  0.0000  0.0000  0.5414  1 Li 2.61, 4 Be 2.64
Sb  0.5000  0.5000  0.2500  8 Li 2.93, 2 Be 3.13, 4 Sb 3.25
Li  0.0000  0.0000  0.9586  1 Li 2.61, 4 Be 2.64
Be  0.5000  0.5000  0.7500  8 Li 2.64

Record 6
Material: YbScO3
Method: DFT, PBE
State: optimized geometry

Calculated values
ΔE_f (raw) = -2.788 eV per atom
spin magnetization = 0.1969 μB/atom
V = 66.7 Å³/f.u.

Cell: 4.0558 4.0558 4.0558 Å, 90.00 90.00 90.00°
With the nearest neighbours (Å) after each atom.
Atoms (fractional coordinates):
Sc  0.5000  0.5000  0.5000  6 O 2.03
O  0.5000  0.0000  0.5000  2 Sc 2.03
Yb  0.0000  0.0000  0.0000  12 O 2.87
O  0.0000  0.5000  0.5000  2 Sc 2.03
O  0.5000  0.5000  0.0000  2 Sc 2.03

Record 7
Material: KNiSe2Br
Method: DFT, PBE
State: optimized geometry

Calculated values
ΔE_f (raw) = -0.403 eV per atom
spin magnetization = 0.3798 μB/atom
V = 131.8 Å³/f.u.

Cell: 4.6774 4.6774 6.0259 Å, 90.00 90.00 90.00°
With the nearest neighbours (Å) after each atom.
Atoms (fractional coordinates):
Se  0.5000  0.0000  0.0000  2 Ni 2.34
Ni  0.0000  0.0000  0.0000  4 Se 2.34
K  0.5000  0.5000  0.5000  4 Br 3.31
Br  0.0000  0.0000  0.5000  2 Ni 3.01, 4 K 3.31
Se  0.0000  0.5000  0.0000  2 Ni 2.34

Record 8
Material: EuTh3Mn
Method: DFT, PBE
State: optimized geometry

Calculated values
E_form = 0.146 eV per atom
spin magnetization = 1.4172 μB/atom
V = 153.7 Å³/f.u.

Cell: 5.3567 5.3567 5.3567 Å, 90.00 90.00 90.00°
With the nearest neighbours (Å) after each atom.
Atoms (fractional coordinates):
Th  0.0000  0.5000  0.0000  2 Mn 2.68
Mn  0.0000  0.0000  0.0000  6 Th 2.68
Th  0.5000  0.0000  0.0000  2 Mn 2.68
Eu  0.5000  0.5000  0.5000  12 Th 3.79
Th  0.0000  0.0000  0.5000  2 Mn 2.68

Record 9
Material: Sn3F7
Method: DFT, PBE
State: optimized geometry

Calculated values
ΔE_f (raw) = -2.180 eV per atom
spin magnetization = 0.0000 μB/atom
V = 170.2 Å³/f.u.

Cell: 5.1487 8.7364 8.7364 Å, 120.00 90.00 90.00°
With the nearest neighbours (Å) after each atom.
Atoms (fractional coordinates):
Sn  0.9403  0.1913  0.8087  4 F 2.18-2.38
F  0.1187  0.0944  0.5472  2 Sn 2.20
F  0.1187  0.4528  0.9056  2 Sn 2.20
F  0.8299  0.2695  0.1347  1 Sn 2.18
Sn  0.4403  0.3826  0.1913  4 F 2.18-2.38
Sn  0.4403  0.8087  0.6174  4 F 2.18-2.38
Sn  0.9403  0.6174  0.8087  4 F 2.18-2.38
F  0.3299  0.1347  0.8653  1 Sn 2.18
F  0.1187  0.4528  0.5472  2 Sn 2.20
Sn  0.9403  0.1913  0.3826  4 F 2.18-2.38
Sn  0.4403  0.8087  0.1913  4 F 2.18-2.38
F  0.3299  0.1347  0.2695  1 Sn 2.18
F  0.8299  0.8653  0.7305  1 Sn 2.18
F  0.7412  0.3333  0.6667  3 Sn 2.38, 3 F 2.65
F  0.2412  0.6667  0.3333  3 Sn 2.38, 3 F 2.65
F  0.6187  0.5472  0.4528  2 Sn 2.20
F  0.6187  0.9056  0.4528  2 Sn 2.20
F  0.3299  0.7305  0.8653  1 Sn 2.18
F  0.6187  0.5472  0.0944  2 Sn 2.20
F  0.8299  0.8653  0.1347  1 Sn 2.18

Record 10
Material: BaTb2Os
Method: DFT, PBE
State: optimized geometry

Calculated values
E_form = 0.167 eV per atom
spin magnetization = 0.0000 μB/atom
V = 153.2 Å³/f.u.

Cell: 4.0492 4.0492 11.0362 Å, 79.43 79.43 60.00°
With the nearest neighbours (Å) after each atom.
Atoms (fractional coordinates):
Tb  0.8786  0.8786  0.3642  3 Os 2.76
Tb  0.1214  0.1214  0.6358  3 Os 2.76
Ba  0.0000  0.0000  0.0000  2 Tb 3.93, 6 Ba 4.05
Os  0.5000  0.5000  0.5000  6 Tb 2.76

Record 11
Material: Cs2YS
Method: DFT, PBE
State: optimized geometry

Calculated values
ΔE_f (raw) = 0.383 eV per atom
spin magnetization = 0.2512 μB/atom
V = 183.5 Å³/f.u.

Cell: 6.3781 6.3781 6.3781 Å, 60.00 60.00 60.00°
With the nearest neighbours (Å) after each atom.
Atoms (fractional coordinates):
Cs  0.7500  0.7500  0.7500  4 Y 3.91, 4 S 3.91
Cs  0.2500  0.2500  0.2500  4 S 3.91, 4 Y 3.91
Y  0.5000  0.5000  0.5000  8 Cs 3.91
S  0.0000  0.0000  0.0000  8 Cs 3.91

Record 12
Material: BaPtSCl2
Method: DFT, PBE
State: optimized geometry

Calculated values
ΔE_f (raw) = -1.129 eV per atom
spin magnetization = 0.0000 μB/atom
V = 121.7 Å³/f.u.

Cell: 4.9654 4.9654 4.9373 Å, 90.00 90.00 90.00°
With the nearest neighbours (Å) after each atom.
Atoms (fractional coordinates):
Ba  0.5000  0.5000  0.5000  8 Cl 3.50, 4 S 3.51
Pt  0.0000  0.0000  0.0000  2 S 2.47, 4 Cl 2.48
S  0.0000  0.0000  0.5000  2 Pt 2.47
Cl  0.0000  0.5000  0.0000  2 Pt 2.48
Cl  0.5000  0.0000  0.0000  2 Pt 2.48

Record 13
Material: LiCu2As
Method: DFT, PBE
State: optimized geometry

Calculated values
E_form = -0.107 eV per atom
spin magnetization = 0.0000 μB/atom
V = 55.2 Å³/f.u.

Cell: 4.4355 2.6475 4.6986 Å, 90.53 90.00 90.00°
With the nearest neighbours (Å) after each atom.
Atoms (fractional coordinates):
Li  0.5000  0.2500  0.2500  4 Cu 2.62, 2 Li 2.65, 4 As 2.69-2.71
Cu  0.0000  0.5575  0.4912  5 Cu 2.49-2.78, 2 As 2.58, 2 Li 2.62
As  0.5000  0.7500  0.7500  4 Cu 2.58, 2 As 2.65, 4 Li 2.69-2.71
Cu  0.0000  0.9425  0.0088  5 Cu 2.49-2.78, 2 As 2.58, 2 Li 2.62

Record 14
Material: AgIF
Method: DFT, PBE
State: optimized geometry

Calculated values
ΔE_f (raw) = -0.639 eV per atom
spin magnetization = 0.0000 μB/atom
V = 70.7 Å³/f.u.

Cell: 3.9942 5.7957 6.3111 Å, 90.01 104.68 89.98°
With the nearest neighbours (Å) after each atom.
Atoms (fractional coordinates):
I  0.9534  0.9530  0.5668  2 Ag 2.90, 2 I 3.16
Ag  0.9572  0.4531  0.5663  2 F 2.21
I  0.9536  0.9529  0.0669  2 Ag 2.90, 2 I 3.16
F  0.4564  0.4520  0.8169  2 Ag 2.21
F  0.4566  0.4539  0.3169  2 Ag 2.21
Ag  0.9572  0.4528  0.0663  2 F 2.21

Record 15
Material: NiMoPt2
Method: DFT, PBE
State: optimized geometry

Calculated values
E_form = -0.139 eV per atom
spin magnetization = 0.0001 μB/atom
V = 58.3 Å³/f.u.

Cell: 8.9845 8.9845 8.9845 Å, 17.67 17.67 17.67°
With the nearest neighbours (Å) after each atom.
Atoms (fractional coordinates):
Pt  0.4978  0.4978  0.4978  3 Ni 2.68, 6 Pt 2.76, 3 Mo 2.77
Pt  0.0022  0.0022  0.0022  3 Ni 2.68, 6 Pt 2.76, 3 Mo 2.77
Ni  0.7500  0.7500  0.7500  6 Pt 2.68, 6 Ni 2.76
Mo  0.2500  0.2500  0.2500  6 Mo 2.76, 6 Pt 2.77

Record 16
Material: SrTe2WN
Method: DFT, PBE
State: optimized geometry

Calculated values
ΔE_f (raw) = 1.775 eV per atom
spin magnetization = 1.1441 μB/atom
V = 171.4 Å³/f.u.

Cell: 6.0924 6.0924 4.6178 Å, 90.00 90.00 90.00°
With the nearest neighbours (Å) after each atom.
Atoms (fractional coordinates):
N  0.0000  0.0000  0.5000  2 Sr 2.31
Te  0.5000  0.0000  0.0000  2 Sr 3.05
Te  0.0000  0.5000  0.0000  2 Sr 3.05
W  0.5000  0.5000  0.5000  8 Te 3.82
Sr  0.0000  0.0000  0.0000  2 N 2.31

Record 17
Material: GaReP2S
Method: DFT, PBE
State: optimized geometry

Calculated values
ΔE_f (raw) = 0.451 eV per atom
spin magnetization = 0.0000 μB/atom
V = 105.9 Å³/f.u.

Cell: 4.5578 4.5578 5.0974 Å, 90.00 90.00 90.00°
With the nearest neighbours (Å) after each atom.
Atoms (fractional coordinates):
P  0.0000  0.5000  0.0000  2 Re 2.28
Re  0.0000  0.0000  0.0000  4 P 2.28, 2 S 2.55
S  0.0000  0.0000  0.5000  2 Re 2.55
P  0.5000  0.0000  0.0000  2 Re 2.28
Ga  0.5000  0.5000  0.5000  4 S 3.22, 8 P 3.42

Record 18
Material: NbRu2Se2
Method: DFT, PBE
State: optimized geometry

Calculated values
ΔE_f (raw) = 0.123 eV per atom
spin magnetization = 0.0000 μB/atom
V = 79.7 Å³/f.u.

Cell: 7.2497 7.2497 3.0334 Å, 90.00 90.00 90.00°
With the nearest neighbours (Å) after each atom.
Atoms (fractional coordinates):
Se  0.1565  0.3435  0.0000  6 Ru 2.48-2.70, 2 Nb 2.74
Ru  0.8482  0.3482  0.5000  6 Se 2.48-2.70
Nb  0.5000  0.5000  0.0000  4 Se 2.74, 2 Nb 3.03
Ru  0.1518  0.6518  0.5000  6 Se 2.48-2.70
Se  0.8435  0.6565  0.0000  6 Ru 2.48-2.70, 2 Nb 2.74
Nb  0.0000  0.0000  0.0000  4 Se 2.74, 2 Nb 3.03
Ru  0.6518  0.8482  0.5000  6 Se 2.48-2.70
Ru  0.3482  0.1518  0.5000  6 Se 2.48-2.70
Se  0.6565  0.1565  0.0000  6 Ru 2.48-2.70, 2 Nb 2.74
Se  0.3435  0.8435  0.0000  6 Ru 2.48-2.70, 2 Nb 2.74

Record 19
Material: PaTlGa
Method: DFT, PBE
State: optimized geometry

Calculated values
E_form = 0.122 eV per atom
spin magnetization = 0.2573 μB/atom
V = 71.8 Å³/f.u.

Cell: 3.3276 3.3276 6.8962 Å, 103.96 103.96 90.00°
With the nearest neighbours (Å) after each atom.
Atoms (fractional coordinates):
Tl  0.0102  0.0102  0.0203  4 Ga 3.13, 4 Tl 3.33, 4 Pa 3.41
Pa  0.3203  0.3203  0.6406  4 Ga 3.06, 4 Pa 3.33, 4 Tl 3.41
Ga  0.6696  0.6696  0.3391  4 Pa 3.06, 4 Tl 3.13, 4 Ga 3.33

Record 20
Material: BaRhSe2
Method: DFT, PBE
State: optimized geometry

Calculated values
ΔE_f (raw) = -0.958 eV per atom
spin magnetization = 0.0007 μB/atom
V = 103.5 Å³/f.u.

Cell: 5.6027 5.6027 5.6027 Å, 139.12 111.61 82.86°
With the nearest neighbours (Å) after each atom.
Atoms (fractional coordinates):
Rh  0.2500  0.7500  0.5000  4 Se 2.48
Ba  0.7500  0.2500  0.5000  8 Se 3.31-3.50, 4 Rh 3.71
Se  0.0684  0.0684  0.0000  2 Rh 2.48
Se  0.4316  0.4316  0.0000  2 Rh 2.48